The following is a DFT calculation (GGA-PBE) of an optimized crystal structure of Nb12O29.

a b c (Å): 10.7553 10.7553 16.0331
angles (deg): 112.73 112.73 20.69
Atoms (fractional coordinates):
Nb 0.0387 0.0387 0.1305
Nb 0.0667 0.0667 0.6017
Nb 0.1193 0.1193 0.4034
Nb 0.1444 0.1444 0.8709
Nb 0.2226 0.2226 0.1321
Nb 0.3010 0.3010 0.3997
Nb 0.6990 0.6990 0.6003
Nb 0.7774 0.7774 0.8679
Nb 0.8556 0.8556 0.1291
Nb 0.8807 0.8807 0.5966
Nb 0.9333 0.9333 0.3983
Nb 0.9613 0.9613 0.8695
O 0.0000 0.0000 0.0000
O 0.0308 0.0308 0.4377
O 0.0563 0.0563 0.8672
O 0.0775 0.0775 0.2829
O 0.0986 0.0986 0.7238
O 0.1372 0.1372 0.1378
O 0.1659 0.1659 0.5733
O 0.1886 0.1886 0.0011
O 0.2182 0.2182 0.4157
O 0.2492 0.2492 0.8592
O 0.2693 0.2693 0.2770
O 0.3335 0.3335 0.1392
O 0.3664 0.3664 0.5565
O 0.4127 0.4127 0.4124
O 0.4548 0.4548 0.8511
O 0.5452 0.5452 0.1489
O 0.5873 0.5873 0.5876
O 0.6336 0.6336 0.4435
O 0.6665 0.6665 0.8608
O 0.7307 0.7307 0.7230
O 0.7508 0.7508 0.1408
O 0.7818 0.7818 0.5843
O 0.8114 0.8114 0.9989
O 0.8341 0.8341 0.4267
O 0.8628 0.8628 0.8622
O 0.9014 0.9014 0.2762
O 0.9225 0.9225 0.7171
O 0.9437 0.9437 0.1328
O 0.9692 0.9692 0.5623

Formation energy from raw total energies   -2548 meV/atom

***

The following is a DFT calculation (GGA-PBE) of an optimized crystal structure of NbO2.

a b c (Å): 2.9994 2.9994 10.8588
angles (deg): 90.00 90.00 120.00
Atoms (fractional coordinates):
Nb 0.3333 0.6667 0.2500
Nb 0.6667 0.3333 0.7500
O 0.3333 0.6667 0.6403
O 0.3333 0.6667 0.8597
O 0.6667 0.3333 0.1403
O 0.6667 0.3333 0.3597

Formation energy from raw total energies   -2163 meV/atom

***

The following is a DFT calculation (GGA-PBE) of an optimized crystal structure of NbOs3O.

a b c (Å): 4.1170 4.1170 4.1170
angles (deg): 90.00 90.00 90.00
Atoms (fractional coordinates):
Nb 0.0000 0.0000 0.0000
Os 0.0000 0.5000 0.5000
Os 0.5000 0.0000 0.5000
Os 0.5000 0.5000 0.0000
O 0.5000 0.5000 0.5000

ΔE to the lowest computed polymorph   0.000 eV per formula unit
Formation energy from raw total energies   488 meV/atom

***

The following is a DFT calculation (GGA-PBE) of an optimized crystal structure of Nb3OsO.

a b c (Å): 4.8527 4.8527 4.8527
angles (deg): 90.00 90.00 90.00
Atoms (fractional coordinates):
Nb 0.0000 0.0000 0.5000
Nb 0.0000 0.5000 0.0000
Nb 0.5000 0.0000 0.0000
Os 0.0000 0.0000 0.0000
O 0.5000 0.5000 0.5000

Formation energy from raw total energies   1478 meV/atom

***

The following is a DFT calculation (GGA-PBE) of an optimized crystal structure of Nb3OsO.

a b c (Å): 4.2257 4.2257 4.2257
angles (deg): 90.00 90.00 90.00
Atoms (fractional coordinates):
Nb 0.0000 0.0000 0.5000
Nb 0.0000 0.5000 0.0000
Nb 0.5000 0.0000 0.0000
Os 0.5000 0.5000 0.5000
O 0.0000 0.0000 0.0000

Formation energy from raw total energies   -611 meV/atom

***

The following is a DFT calculation (GGA-PBE) of an optimized crystal structure of NbOsO2.

a b c (Å): 7.0814 7.0814 7.0814
angles (deg): 148.13 148.13 45.70
Atoms (fractional coordinates):
Nb 0.0000 0.0000 0.0000
Nb 0.7500 0.2500 0.5000
Os 0.2500 0.7500 0.5000
Os 0.5000 0.5000 0.0000
O 0.1265 0.6250 0.0015
O 0.3750 0.3765 0.5015
O 0.6235 0.1250 0.9985
O 0.8750 0.8735 0.4985

ΔE to the lowest computed polymorph   1.657 eV per formula unit
Formation energy from raw total energies   -754 meV/atom

***

Calculated DOS(E_F) in order - 0.23 0.57 0.75 1.37 0.82 0.99 states/eV per atom
Calculated total magnetization in order - 0.72 0.51 0.00 1.24 0.00 0.00 μB per formula unit